No. 1
The following is a PBE calculation of a relaxed structure of Au2CSe, from the Alexandria database.

Cell and atoms, written as extended XYZ:
```
16
Lattice="6.390 0.000 0.000 0.000 6.390 0.000 0.000 0.000 6.390" Properties=species:S:1:pos:R:3 pbc="T T T"
Au 1.598 1.598 1.598
Au 1.598 1.598 4.793
Au 1.598 4.793 1.598
Au 1.598 4.793 4.793
Au 4.793 1.598 1.598
Au 4.793 1.598 4.793
Au 4.793 4.793 1.598
Au 4.793 4.793 4.793
C 0.000 0.000 0.000
C 0.000 3.195 3.195
C 3.195 0.000 3.195
C 3.195 3.195 0.000
Se 0.000 0.000 3.195
Se 0.000 3.195 0.000
Se 3.195 0.000 0.000
Se 3.195 3.195 3.195
```

Raw formation energy = 1.53 eV/atom
Total DFT energy (no corrections) = -0.242 Ry per atom
Energy relative to the lowest polymorph listed for this composition = 564 meV/atom
Space-group type = Fm-3m

No. 2
The following is a PBE calculation of a relaxed structure of AuCSe2, from the Alexandria database.

Cell and atoms, written as extended XYZ:
```
12
Lattice="4.380 0.000 0.000 -2.190 3.793 0.000 0.000 0.000 18.621" Properties=species:S:1:pos:R:3 pbc="T T T"
Au 0.000 0.000 0.000
Au 0.000 2.529 12.414
Au 2.190 1.264 6.207
C 0.000 0.000 9.311
C 0.000 2.529 3.104
C 2.190 1.264 15.518
Se 0.000 0.000 7.572
Se 0.000 0.000 11.049
Se 0.000 2.529 1.365
Se 0.000 2.529 4.842
Se 2.190 1.264 13.779
Se 2.190 1.264 17.257
```

Raw formation energy = 0.78 eV/atom
Total DFT energy (no corrections) = -0.300 Ry per atom
Space-group type = R-3m

No. 3
The following is a PBE calculation of a relaxed structure of AuCSe2, from the Alexandria database.

Cell and atoms, written as extended XYZ:
```
12
Lattice="3.166 0.000 0.000 -1.583 2.742 0.000 0.000 0.000 24.064" Properties=species:S:1:pos:R:3 pbc="T T T"
Au 0.000 0.000 0.000
Au 0.000 1.828 16.043
Au 1.583 0.914 8.021
C 0.000 0.000 12.032
C 0.000 1.828 4.011
C 1.583 0.914 20.054
Se 0.000 0.000 2.597
Se 0.000 0.000 21.467
Se 0.000 1.828 13.446
Se 0.000 1.828 18.640
Se 1.583 0.914 5.424
Se 1.583 0.914 10.619
```

Raw formation energy = 1.13 eV/atom
Total DFT energy (no corrections) = -0.275 Ry per atom
Space-group type = R-3m

No. 4
The following is a PBE calculation of a relaxed structure of AuC3Se, from the Alexandria database.

Cell and atoms, written as extended XYZ:
```
5
Lattice="4.186 0.000 0.000 0.000 4.186 0.000 0.000 0.000 4.186" Properties=species:S:1:pos:R:3 pbc="T T T"
Au 0.000 0.000 0.000
C 0.000 0.000 2.093
C 0.000 2.093 0.000
C 2.093 0.000 0.000
Se 2.093 2.093 2.093
```

Raw formation energy = 3.10 eV/atom
Total DFT energy (no corrections) = -0.278 Ry per atom
Energy relative to the lowest polymorph listed for this composition = 163 meV/atom
Space-group type = Pm-3m

No. 5
The following is a PBE calculation of a relaxed structure of AuC3Se, from the Alexandria database.

Cell and atoms, written as extended XYZ:
```
5
Lattice="3.922 0.000 0.000 0.000 3.922 0.000 0.000 0.000 3.922" Properties=species:S:1:pos:R:3 pbc="T T T"
Au 0.000 0.000 0.000
C 0.000 1.961 1.961
C 1.961 0.000 1.961
C 1.961 1.961 0.000
Se 1.961 1.961 1.961
```

Raw formation energy = 2.94 eV/atom
Total DFT energy (no corrections) = -0.290 Ry per atom
Energy relative to the lowest polymorph listed for this composition = 0 meV/atom
Space-group type = Pm-3m

No. 6
The following is a PBE calculation of a relaxed structure of AuCSe2, from the Alexandria database.

Cell and atoms, written as extended XYZ:
```
16
Lattice="5.542 0.000 0.000 0.000 5.542 0.000 0.000 0.000 10.587" Properties=species:S:1:pos:R:3 pbc="T T T"
Au 0.000 0.000 0.000
Au 0.000 2.771 2.647
Au 2.771 0.000 7.940
Au 2.771 2.771 5.293
C 0.000 0.000 5.293
C 0.000 2.771 7.940
C 2.771 0.000 2.647
C 2.771 2.771 0.000
Se 0.972 1.386 6.617
Se 1.386 3.743 9.263
Se 1.386 4.570 3.970
Se 1.799 1.386 1.323
Se 3.743 4.157 1.323
Se 4.157 0.972 3.970
Se 4.157 1.799 9.263
Se 4.570 4.157 6.617
```

Raw formation energy = 0.92 eV/atom
Total DFT energy (no corrections) = -0.290 Ry per atom
Space-group type = I-42d

Number 1: magnetization 0.00 μB/f.u.. Number 2: magnetization 0.00 μB/f.u.. Number 3: magnetization 0.00 μB/f.u.. Number 4: magnetization 2.43 μB/f.u.. Number 5: magnetization 0.00 μB/f.u.. Number 6: magnetization 0.00 μB/f.u..